Entry A
Density functional theory data (PBE) for BaHf2Os after structural relaxation.

a = 9.3801 Å, b = 9.3801 Å, c = 9.3801 Å
α = 143.94°, β = 143.94°, γ = 51.91°
Closest atoms and distances in Å follow each position.
Sites, in units of the cell vectors:
Ba: 0.3750 0.6250 0.7500  8 Hf 3.87, 4 Os 4.11
Ba: 0.6250 0.3750 0.2500  8 Hf 3.87, 4 Os 4.11
Hf: 0.0000 0.0000 0.0000  2 Os 2.56
Hf: 0.0000 0.0000 0.5000  2 Os 2.56
Hf: 0.0000 0.5000 0.0000  2 Os 2.56
Hf: 0.5000 0.0000 0.5000  2 Os 2.56
Os: 0.1250 0.8750 0.2500  4 Hf 2.56
Os: 0.8750 0.1250 0.7500  4 Hf 2.56

Properties
SG: I4_1/amd
DOS at the Fermi energy, states/eV/atom: 1.871

---

Entry B
Density functional theory data (PBE) for BaHf2Os after structural relaxation.

a = 4.9635 Å, b = 4.9635 Å, c = 4.9635 Å
α = 60.00°, β = 60.00°, γ = 60.00°
Closest atoms and distances in Å follow each position.
Sites, in units of the cell vectors:
Ba: 0.0000 0.0000 0.0000  8 Hf 3.04
Hf: 0.2500 0.2500 0.2500  4 Os 3.04, 4 Ba 3.04
Hf: 0.7500 0.7500 0.7500  4 Os 3.04, 4 Ba 3.04
Os: 0.5000 0.5000 0.5000  8 Hf 3.04

Properties
SG: Fm-3m
DOS at the Fermi energy, states/eV/atom: 1.572

---

entry B is the most stable structure; the next one sits 0.303 eV/atom above it.

---

Entry A
Density functional theory data (PBE) for BaHfP3 after structural relaxation.

a = 5.0609 Å, b = 5.0609 Å, c = 5.0609 Å
α = 90.00°, β = 90.00°, γ = 90.00°
Closest atoms and distances in Å follow each position.
Sites, in units of the cell vectors:
Ba: 0.0000 0.0000 0.0000  12 P 3.58
Hf: 0.5000 0.5000 0.5000  6 P 2.53
P: 0.0000 0.5000 0.5000  2 Hf 2.53
P: 0.5000 0.0000 0.5000  2 Hf 2.53
P: 0.5000 0.5000 0.0000  2 Hf 2.53

Properties
SG: Pm-3m
DOS at the Fermi energy, states/eV/atom: 0.673

---

Entry B
Density functional theory data (PBE) for BaHfP3 after structural relaxation.

a = 5.3076 Å, b = 5.3076 Å, c = 5.3076 Å
α = 90.00°, β = 90.00°, γ = 90.00°
Closest atoms and distances in Å follow each position.
Sites, in units of the cell vectors:
Ba: 0.0000 0.0000 0.0000  6 P 2.65
Hf: 0.5000 0.5000 0.5000  12 P 3.75
P: 0.0000 0.0000 0.5000  2 Ba 2.65
P: 0.0000 0.5000 0.0000  2 Ba 2.65
P: 0.5000 0.0000 0.0000  2 Ba 2.65

Properties
SG: Pm-3m
DOS at the Fermi energy, states/eV/atom: 0.841

---

entry A is the most stable structure; the next one sits 2.227 eV/atom above it.

---

Entry A
Density functional theory data (PBE) for BaHf3Pb after structural relaxation.

a = 5.3345 Å, b = 5.3345 Å, c = 5.3345 Å
α = 90.00°, β = 90.00°, γ = 90.00°
Closest atoms and distances in Å follow each position.
Sites, in units of the cell vectors:
Ba: 0.0000 0.0000 0.0000  6 Hf 2.67
Hf: 0.0000 0.0000 0.5000  2 Ba 2.67
Hf: 0.0000 0.5000 0.0000  2 Ba 2.67
Hf: 0.5000 0.0000 0.0000  2 Ba 2.67
Pb: 0.5000 0.5000 0.5000  12 Hf 3.77

Properties
SG: Pm-3m
DOS at the Fermi energy, states/eV/atom: 2.677

---

Entry B
Density functional theory data (PBE) for BaHf3Pb after structural relaxation.

a = 5.5335 Å, b = 5.5335 Å, c = 5.5335 Å
α = 90.00°, β = 90.00°, γ = 90.00°
Closest atoms and distances in Å follow each position.
Sites, in units of the cell vectors:
Ba: 0.0000 0.0000 0.0000  12 Hf 3.91
Hf: 0.0000 0.5000 0.5000  2 Pb 2.77
Hf: 0.5000 0.0000 0.5000  2 Pb 2.77
Hf: 0.5000 0.5000 0.0000  2 Pb 2.77
Pb: 0.5000 0.5000 0.5000  6 Hf 2.77

Properties
SG: Pm-3m
DOS at the Fermi energy, states/eV/atom: 3.857

---

entry B is the most stable structure; the next one sits 0.767 eV/atom above it.